ZrRuO2 | PBE | optimized geometry

Cell: 6.168 6.168 6.168 Å, 31.31 31.31 31.31°
Atoms (fractional coordinates):
Zr1 0.000 0.000 0.000
Ru1 0.500 0.500 0.500
O1 0.384 0.384 0.384
O2 0.616 0.616 0.616

V   14.06 Å³/atom
ΔE to the lowest computed polymorph   0.000 eV per atom
Total DFT energy (no corrections)   -8.54 eV per atom
Space group   R-3m (166)

***

LiMnGe2 | PBE | optimized geometry

Cell: 8.245 8.245 8.245 Å, 20.46 20.46 20.46°
Atoms (fractional coordinates):
Li1 0.000 0.000 0.000
Mn1 0.500 0.500 0.500
Ge1 0.242 0.242 0.242
Ge2 0.758 0.758 0.758

V   14.99 Å³/atom
ΔE to the lowest computed polymorph   0.063 eV per atom
Total DFT energy (no corrections)   -5.14 eV per atom
Space group   R-3m (166)

***

BeCNF2 | PBE | optimized geometry

Cell: 4.435 4.435 2.458 Å, 90.00 90.00 90.00°
Atoms (fractional coordinates):
Be1 0.000 0.000 0.000
C1 0.500 0.500 0.500
N1 0.500 0.500 0.000
F1 0.000 0.500 0.500
F2 0.500 0.000 0.500

V   9.67 Å³/atom
ΔE to the lowest computed polymorph   0.000 eV per atom
Total DFT energy (no corrections)   -4.98 eV per atom
Space group   P4/mmm (123)

***

ZrNp3U3As8 | PBE | optimized geometry

Cell: 8.107 8.107 8.121 Å, 119.99 119.99 59.94°
Atoms (fractional coordinates):
Zr1 0.000 0.000 0.000
Np1 0.000 0.000 0.500
Np2 0.000 0.500 0.500
Np3 0.500 0.000 0.500
U1 0.000 0.500 0.000
U2 0.500 0.000 0.000
U3 0.500 0.500 0.000
As1 0.245 0.245 0.243
As2 0.245 0.753 0.243
As3 0.247 0.755 0.757
As4 0.250 0.250 0.751
As5 0.750 0.750 0.249
As6 0.753 0.245 0.243
As7 0.755 0.247 0.757
As8 0.755 0.755 0.757

V   25.15 Å³/atom
Total DFT energy (no corrections)   -8.57 eV per atom
Space group   C2/m (12)

***

GaPb3O | PBE | optimized geometry

Cell: 5.453 5.453 5.453 Å, 90.00 90.00 90.00°
Atoms (fractional coordinates):
Ga1 0.000 0.000 0.000
Pb1 0.000 0.000 0.500
Pb2 0.000 0.500 0.000
Pb3 0.500 0.000 0.000
O1 0.500 0.500 0.500

V   32.44 Å³/atom
ΔE to the lowest computed polymorph   0.900 eV per atom
Total DFT energy (no corrections)   -3.14 eV per atom
Space group   Pm-3m (221)

***

GaRu2I | PBE | optimized geometry

Cell: 4.542 4.542 4.542 Å, 60.00 60.00 60.00°
Atoms (fractional coordinates):
Ga1 0.000 0.000 0.000
Ru1 0.250 0.250 0.250
Ru2 0.750 0.750 0.750
I1 0.500 0.500 0.500

V   16.56 Å³/atom
ΔE to the lowest computed polymorph   0.000 eV per atom
Total DFT energy (no corrections)   -5.21 eV per atom
Space group   Fm-3m (225)